No. 1
The following is a GGA-PBE calculation of an optimized crystal structure of AcMg9Zn3, from Alexandria.

Cell: 5.7661 7.5823 7.6437 Å, 82.09 67.84 68.59°
Last column: nearest neighbours and their distance in Å.
Sites, in units of the cell vectors:
Mg: 0.0000 0.5000 0.0000  2 Zn 2.88, 8 Mg 2.98-3.11
Mg: 0.4883 0.7856 0.2236  3 Zn 2.85-2.91, 5 Mg 2.98-3.17
Mg: 0.7119 0.7856 0.7764  3 Zn 2.85-2.91, 5 Mg 2.98-3.17
Mg: 0.2881 0.2144 0.2236  3 Zn 2.85-2.91, 5 Mg 2.98-3.17
Zn: 0.0000 0.0000 0.5000  8 Mg 2.85-3.02, 2 Zn 2.88
Mg: 0.9933 0.6557 0.3578  3 Zn 2.98-3.12, 6 Mg 2.98-3.26
Mg: 0.3512 0.6557 0.6422  3 Zn 2.98-3.12, 6 Mg 2.98-3.26
Ac: 0.0000 0.0000 0.0000  14 Mg 3.51-3.79, 6 Zn 3.82-3.83
Zn: 0.5000 0.5000 0.0000  10 Mg 2.88-3.12
Mg: 0.0067 0.3443 0.6422  3 Zn 2.98-3.12, 6 Mg 2.98-3.26
Zn: 0.5000 0.0000 0.5000  8 Mg 2.85-3.02, 2 Zn 2.88
Mg: 0.6488 0.3443 0.3578  3 Zn 2.98-3.12, 6 Mg 2.98-3.26
Mg: 0.5117 0.2144 0.7764  3 Zn 2.85-2.91, 5 Mg 2.98-3.17

## Properties
* N(E_F): 0.455 states/eV per atom
* symmetry: C2/m
* size of the total moment: 0.000 μB/atom
* formation enthalpy at 0 K: -1.58 eV per formula unit
* uncorrected energy: -23.866 eV per cell


No. 2
The following is a GGA-PBE calculation of an optimized crystal structure of YMnOs, from Alexandria.

Cell: 4.5596 4.5596 4.5596 Å, 60.00 60.00 60.00°
Last column: nearest neighbours and their distance in Å.
Sites, in units of the cell vectors:
Os: 0.5000 0.5000 0.5000  4 Y 2.79
Mn: 0.0000 0.0000 0.0000  4 Y 2.79
Y: 0.7500 0.7500 0.7500  4 Mn 2.79, 4 Os 2.79

## Properties
* N(E_F): 0.643 states/eV per atom
* symmetry: F-43m
* size of the total moment: 1.484 μB/atom
* formation enthalpy at 0 K: 3.62 eV per formula unit
* uncorrected energy: -23.241 eV per cell


No. 3
The following is a GGA-PBE calculation of an optimized crystal structure of Li2MgInRe, from Alexandria.

Cell: 4.4852 5.0387 4.4852 Å, 90.00 90.00 90.00°
Last column: nearest neighbours and their distance in Å.
Sites, in units of the cell vectors:
Mg: 0.0000 0.0000 0.0000  4 Li 2.24
Li: 0.0000 0.0000 0.5000  2 Mg 2.24
In: 0.0000 0.5000 0.0000  2 Mg 2.52
Re: 0.5000 0.5000 0.5000  4 In 3.17, 8 Li 3.37
Li: 0.5000 0.0000 0.0000  2 Mg 2.24

## Properties
* N(E_F): 0.633 states/eV per atom
* symmetry: P4/mmm
* size of the total moment: 0.521 μB/atom
* formation enthalpy at 0 K: 6.59 eV per formula unit
* uncorrected energy: -14.021 eV per cell


No. 4
The following is a GGA-PBE calculation of an optimized crystal structure of AcPmGa2, from Alexandria.

Cell: 4.3535 8.9324 11.8621 Å, 90.00 90.00 90.00°
Last column: nearest neighbours and their distance in Å.
Sites, in units of the cell vectors:
Ga: 0.7500 0.8437 0.8332  2 Ga 2.63
Pm: 0.2500 0.9954 0.3840  5 Ga 2.95-3.13
Ac: 0.7500 0.3674 0.3656  9 Ga 3.39-3.72
Ga: 0.7500 0.2517 0.0660  2 Ga 2.63
Ga: 0.2500 0.2483 0.5660  2 Ga 2.63
Ga: 0.2500 0.7483 0.9340  2 Ga 2.63
Ga: 0.7500 0.3437 0.6668  2 Ga 2.63
Ga: 0.2500 0.6563 0.3332  2 Ga 2.63
Pm: 0.7500 0.5046 0.8840  5 Ga 2.95-3.13
Ac: 0.7500 0.8674 0.1344  9 Ga 3.39-3.72
Pm: 0.7500 0.0046 0.6160  5 Ga 2.95-3.13
Pm: 0.2500 0.4954 0.1160  5 Ga 2.95-3.13
Ac: 0.2500 0.1326 0.8656  9 Ga 3.39-3.72
Ac: 0.2500 0.6326 0.6344  9 Ga 3.39-3.72
Ga: 0.7500 0.7517 0.4340  2 Ga 2.63
Ga: 0.2500 0.1563 0.1668  2 Ga 2.63

## Properties
* N(E_F): 0.872 states/eV per atom
* symmetry: Pnma
* size of the total moment: 0.000 μB/atom
* formation enthalpy at 0 K: -1.91 eV per formula unit
* uncorrected energy: -67.296 eV per cell


Question: What is the size of the total moment in the first record?
Answer: 0.000 μB/atom